{
  "formula": "KHgP",
  "functional": "PBEsol",
  "state": "optimized geometry",
  "cell": [[3.3683, 0.0000, 0.0000], [-1.6841, 2.9170, 0.0000], [0.0000, 0.0000, 7.4729]],
  "species": ["K", "Hg", "P"],
  "frac_coords": [[0.0000, 0.0000, 0.0000], [0.6667, 0.3333, 0.3721], [0.3333, 0.6667, 0.6574]],
  "e_tot_ev_per_atom": -2.143,
  "formation_energy_ev_per_atom": 0.35,
  "volume_a3_per_atom": 24.47
}